A:
The following is a DFT calculation (PBE) of crystalline Tc2CN at its relaxed geometry.

The structure in CIF format:
```
data_Tc2CN
_space_group_name_H-M_alt 'P 1'
_space_group_IT_number 1
_cell_length_a 3.789
_cell_length_b 3.789
_cell_length_c 3.789
_cell_angle_alpha 60.00
_cell_angle_beta 60.00
_cell_angle_gamma 60.00
loop_
_space_group_symop_operation_xyz
'x,y,z'
loop_
_atom_site_label
_atom_site_type_symbol
_atom_site_fract_x
_atom_site_fract_y
_atom_site_fract_z
C1 C 0.000 0.000 0.000
Tc1 Tc 0.250 0.250 0.250
Tc2 Tc 0.750 0.750 0.750
N1 N 0.500 0.500 0.500
```

Values from the calculation:
space group	No. 225
Fermi-level density of states	3.75	states/eV/cell
total moment	0.00	Bohr magnetons per cell



B:
The following is a DFT calculation (PBE) of crystalline Tc2CN at its relaxed geometry.

The structure in CIF format:
```
data_Tc2CN
_space_group_name_H-M_alt 'P 1'
_space_group_IT_number 1
_cell_length_a 4.598
_cell_length_b 4.598
_cell_length_c 5.650
_cell_angle_alpha 65.99
_cell_angle_beta 65.99
_cell_angle_gamma 90.00
loop_
_space_group_symop_operation_xyz
'x,y,z'
loop_
_atom_site_label
_atom_site_type_symbol
_atom_site_fract_x
_atom_site_fract_y
_atom_site_fract_z
C1 C 0.500 0.500 0.000
C2 C 0.250 0.750 0.500
Tc1 Tc 0.629 0.125 0.250
Tc2 Tc 0.121 0.625 0.250
Tc3 Tc 0.375 0.371 0.750
Tc4 Tc 0.875 0.879 0.750
N1 N 0.000 0.000 0.000
N2 N 0.750 0.250 0.500
```

Values from the calculation:
space group	No. 122
Fermi-level density of states	5.80	states/eV/cell
total moment	1.94	Bohr magnetons per cell



Most stable structure, least stable structure: B, A.



A:
The following is a DFT calculation (PBE) of crystalline TiTeCN2 at its relaxed geometry.

The structure in CIF format:
```
data_TiTeCN2
_space_group_name_H-M_alt 'P 1'
_space_group_IT_number 1
_cell_length_a 3.839
_cell_length_b 3.839
_cell_length_c 4.255
_cell_angle_alpha 90.00
_cell_angle_beta 90.00
_cell_angle_gamma 90.00
loop_
_space_group_symop_operation_xyz
'x,y,z'
loop_
_atom_site_label
_atom_site_type_symbol
_atom_site_fract_x
_atom_site_fract_y
_atom_site_fract_z
N1 N 0.000 0.500 0.000
N2 N 0.500 0.000 0.000
Te1 Te 0.000 0.000 0.500
C1 C 0.000 0.000 0.000
Ti1 Ti 0.500 0.500 0.500
```

Values from the calculation:
space group	No. 123
Fermi-level density of states	5.33	states/eV/cell
total moment	0.01	Bohr magnetons per cell



B:
The following is a DFT calculation (PBE) of crystalline TiTeCN2 at its relaxed geometry.

The structure in CIF format:
```
data_TiTeCN2
_space_group_name_H-M_alt 'P 1'
_space_group_IT_number 1
_cell_length_a 3.730
_cell_length_b 3.730
_cell_length_c 6.181
_cell_angle_alpha 90.00
_cell_angle_beta 90.00
_cell_angle_gamma 90.00
loop_
_space_group_symop_operation_xyz
'x,y,z'
loop_
_atom_site_label
_atom_site_type_symbol
_atom_site_fract_x
_atom_site_fract_y
_atom_site_fract_z
N1 N 0.000 0.500 0.000
N2 N 0.500 0.000 0.000
Te1 Te 0.000 0.000 0.500
C1 C 0.500 0.500 0.500
Ti1 Ti 0.000 0.000 0.000
```

Values from the calculation:
space group	No. 123
Fermi-level density of states	2.54	states/eV/cell
total moment	0.75	Bohr magnetons per cell



Most stable structure, least stable structure: B, A.



A:
The following is a DFT calculation (PBE) of crystalline TlTeCN2 at its relaxed geometry.

The structure in CIF format:
```
data_TlTeCN2
_space_group_name_H-M_alt 'P 1'
_space_group_IT_number 1
_cell_length_a 4.130
_cell_length_b 4.130
_cell_length_c 6.871
_cell_angle_alpha 90.00
_cell_angle_beta 90.00
_cell_angle_gamma 90.00
loop_
_space_group_symop_operation_xyz
'x,y,z'
loop_
_atom_site_label
_atom_site_type_symbol
_atom_site_fract_x
_atom_site_fract_y
_atom_site_fract_z
Tl1 Tl 0.000 0.000 0.000
Te1 Te 0.000 0.000 0.500
C1 C 0.500 0.500 0.500
N1 N 0.000 0.500 0.000
N2 N 0.500 0.000 0.000
```

Values from the calculation:
space group	No. 123
Fermi-level density of states	2.58	states/eV/cell
total moment	3.71	Bohr magnetons per cell



B:
The following is a DFT calculation (PBE) of crystalline TlTeCN2 at its relaxed geometry.

The structure in CIF format:
```
data_TlTeCN2
_space_group_name_H-M_alt 'P 1'
_space_group_IT_number 1
_cell_length_a 4.098
_cell_length_b 4.098
_cell_length_c 4.595
_cell_angle_alpha 90.00
_cell_angle_beta 90.00
_cell_angle_gamma 90.00
loop_
_space_group_symop_operation_xyz
'x,y,z'
loop_
_atom_site_label
_atom_site_type_symbol
_atom_site_fract_x
_atom_site_fract_y
_atom_site_fract_z
Tl1 Tl 0.500 0.500 0.500
Te1 Te 0.000 0.000 0.500
C1 C 0.000 0.000 0.000
N1 N 0.000 0.500 0.000
N2 N 0.500 0.000 0.000
```

Values from the calculation:
space group	No. 123
Fermi-level density of states	2.47	states/eV/cell
total moment	2.56	Bohr magnetons per cell



Most stable structure, least stable structure: B, A.



A:
The following is a DFT calculation (PBE) of crystalline VTe2CN at its relaxed geometry.

The structure in CIF format:
```
data_VTe2CN
_space_group_name_H-M_alt 'P 1'
_space_group_IT_number 1
_cell_length_a 5.235
_cell_length_b 5.235
_cell_length_c 3.604
_cell_angle_alpha 90.00
_cell_angle_beta 90.00
_cell_angle_gamma 90.00
loop_
_space_group_symop_operation_xyz
'x,y,z'
loop_
_atom_site_label
_atom_site_type_symbol
_atom_site_fract_x
_atom_site_fract_y
_atom_site_fract_z
N1 N 0.000 0.000 0.500
Te1 Te 0.000 0.500 0.000
Te2 Te 0.500 0.000 0.000
C1 C 0.500 0.500 0.500
V1 V 0.000 0.000 0.000
```

Values from the calculation:
space group	No. 123
Fermi-level density of states	2.76	states/eV/cell
total moment	1.01	Bohr magnetons per cell



B:
The following is a DFT calculation (PBE) of crystalline VTe2CN at its relaxed geometry.

The structure in CIF format:
```
data_VTe2CN
_space_group_name_H-M_alt 'P 1'
_space_group_IT_number 1
_cell_length_a 6.072
_cell_length_b 6.072
_cell_length_c 2.633
_cell_angle_alpha 90.00
_cell_angle_beta 90.00
_cell_angle_gamma 90.00
loop_
_space_group_symop_operation_xyz
'x,y,z'
loop_
_atom_site_label
_atom_site_type_symbol
_atom_site_fract_x
_atom_site_fract_y
_atom_site_fract_z
N1 N 0.000 0.000 0.500
Te1 Te 0.000 0.500 0.000
Te2 Te 0.500 0.000 0.000
C1 C 0.000 0.000 0.000
V1 V 0.500 0.500 0.500
```

Values from the calculation:
space group	No. 123
Fermi-level density of states	2.49	states/eV/cell
total moment	2.95	Bohr magnetons per cell



Most stable structure, least stable structure: B, A.



A:
The following is a DFT calculation (PBE) of crystalline Te2WCN at its relaxed geometry.

The structure in CIF format:
```
data_Te2WCN
_space_group_name_H-M_alt 'P 1'
_space_group_IT_number 1
_cell_length_a 6.023
_cell_length_b 6.023
_cell_length_c 2.617
_cell_angle_alpha 90.00
_cell_angle_beta 90.00
_cell_angle_gamma 90.00
loop_
_space_group_symop_operation_xyz
'x,y,z'
loop_
_atom_site_label
_atom_site_type_symbol
_atom_site_fract_x
_atom_site_fract_y
_atom_site_fract_z
C1 C 0.000 0.000 0.000
Te1 Te 0.000 0.500 0.000
Te2 Te 0.500 0.000 0.000
W1 W 0.500 0.500 0.500
N1 N 0.000 0.000 0.500
```

Values from the calculation:
space group	No. 123
Fermi-level density of states	3.67	states/eV/cell
total moment	1.12	Bohr magnetons per cell



B:
The following is a DFT calculation (PBE) of crystalline Te2WCN at its relaxed geometry.

The structure in CIF format:
```
data_Te2WCN
_space_group_name_H-M_alt 'P 1'
_space_group_IT_number 1
_cell_length_a 5.359
_cell_length_b 5.359
_cell_length_c 3.803
_cell_angle_alpha 90.00
_cell_angle_beta 90.00
_cell_angle_gamma 90.00
loop_
_space_group_symop_operation_xyz
'x,y,z'
loop_
_atom_site_label
_atom_site_type_symbol
_atom_site_fract_x
_atom_site_fract_y
_atom_site_fract_z
C1 C 0.500 0.500 0.500
Te1 Te 0.000 0.500 0.000
Te2 Te 0.500 0.000 0.000
W1 W 0.000 0.000 0.000
N1 N 0.000 0.000 0.500
```

Values from the calculation:
space group	No. 123
Fermi-level density of states	3.02	states/eV/cell
total moment	0.97	Bohr magnetons per cell



Most stable structure, least stable structure: A, B.



A:
The following is a DFT calculation (PBE) of crystalline ZnTe2CN at its relaxed geometry.

The structure in CIF format:
```
data_ZnTe2CN
_space_group_name_H-M_alt 'P 1'
_space_group_IT_number 1
_cell_length_a 6.666
_cell_length_b 6.666
_cell_length_c 2.615
_cell_angle_alpha 90.00
_cell_angle_beta 90.00
_cell_angle_gamma 90.00
loop_
_space_group_symop_operation_xyz
'x,y,z'
loop_
_atom_site_label
_atom_site_type_symbol
_atom_site_fract_x
_atom_site_fract_y
_atom_site_fract_z
Zn1 Zn 0.500 0.500 0.500
Te1 Te 0.000 0.500 0.000
Te2 Te 0.500 0.000 0.000
C1 C 0.000 0.000 0.000
N1 N 0.000 0.000 0.500
```

Values from the calculation:
space group	No. 123
Fermi-level density of states	1.24	states/eV/cell
total moment	0.00	Bohr magnetons per cell



B:
The following is a DFT calculation (PBE) of crystalline ZnTe2CN at its relaxed geometry.

The structure in CIF format:
```
data_ZnTe2CN
_space_group_name_H-M_alt 'P 1'
_space_group_IT_number 1
_cell_length_a 5.391
_cell_length_b 5.391
_cell_length_c 3.583
_cell_angle_alpha 90.00
_cell_angle_beta 90.00
_cell_angle_gamma 90.00
loop_
_space_group_symop_operation_xyz
'x,y,z'
loop_
_atom_site_label
_atom_site_type_symbol
_atom_site_fract_x
_atom_site_fract_y
_atom_site_fract_z
Zn1 Zn 0.000 0.000 0.000
Te1 Te 0.000 0.500 0.000
Te2 Te 0.500 0.000 0.000
C1 C 0.500 0.500 0.500
N1 N 0.000 0.000 0.500
```

Values from the calculation:
space group	No. 123
Fermi-level density of states	3.97	states/eV/cell
total moment	1.35	Bohr magnetons per cell



Most stable structure, least stable structure: A, B.



A:
The following is a DFT calculation (PBE) of crystalline Th4CN2 at its relaxed geometry.

The structure in CIF format:
```
data_Th4CN2
_space_group_name_H-M_alt 'P 1'
_space_group_IT_number 1
_cell_length_a 3.642
_cell_length_b 6.344
_cell_length_c 7.170
_cell_angle_alpha 115.58
_cell_angle_beta 104.71
_cell_angle_gamma 90.00
loop_
_space_group_symop_operation_xyz
'x,y,z'
loop_
_atom_site_label
_atom_site_type_symbol
_atom_site_fract_x
_atom_site_fract_y
_atom_site_fract_z
C1 C 0.000 0.000 0.000
Th1 Th 0.868 0.191 0.735
Th2 Th 0.132 0.809 0.265
Th3 Th 0.628 0.286 0.256
Th4 Th 0.372 0.714 0.744
N1 N 0.743 0.737 0.485
N2 N 0.257 0.263 0.515
```

Values from the calculation:
space group	No. 12
Fermi-level density of states	5.77	states/eV/cell
total moment	0.00	Bohr magnetons per cell



B:
The following is a DFT calculation (PBE) of crystalline Th4CN2 at its relaxed geometry.

The structure in CIF format:
```
data_Th4CN2
_space_group_name_H-M_alt 'P 1'
_space_group_IT_number 1
_cell_length_a 3.625
_cell_length_b 6.312
_cell_length_c 12.252
_cell_angle_alpha 90.00
_cell_angle_beta 90.00
_cell_angle_gamma 106.69
loop_
_space_group_symop_operation_xyz
'x,y,z'
loop_
_atom_site_label
_atom_site_type_symbol
_atom_site_fract_x
_atom_site_fract_y
_atom_site_fract_z
Th1 Th 0.783 0.566 0.124
Th2 Th 0.783 0.566 0.376
Th3 Th 0.217 0.434 0.876
Th4 Th 0.217 0.434 0.624
Th5 Th 0.943 0.887 0.750
Th6 Th 0.057 0.113 0.250
Th7 Th 0.500 0.000 0.000
Th8 Th 0.500 0.000 0.500
C1 C 0.593 0.187 0.750
C2 C 0.407 0.813 0.250
N1 N 0.146 0.293 0.440
N2 N 0.854 0.707 0.940
N3 N 0.146 0.293 0.060
N4 N 0.854 0.707 0.560
```

Values from the calculation:
space group	No. 63
Fermi-level density of states	8.30	states/eV/cell
total moment	0.00	Bohr magnetons per cell



Most stable structure, least stable structure: A, B.



A:
The following is a DFT calculation (PBE) of crystalline Th4C2N at its relaxed geometry.

The structure in CIF format:
```
data_Th4C2N
_space_group_name_H-M_alt 'P 1'
_space_group_IT_number 1
_cell_length_a 3.660
_cell_length_b 6.372
_cell_length_c 12.532
_cell_angle_alpha 90.00
_cell_angle_beta 90.00
_cell_angle_gamma 106.69
loop_
_space_group_symop_operation_xyz
'x,y,z'
loop_
_atom_site_label
_atom_site_type_symbol
_atom_site_fract_x
_atom_site_fract_y
_atom_site_fract_z
C1 C 0.147 0.293 0.438
C2 C 0.853 0.707 0.938
C3 C 0.147 0.293 0.062
C4 C 0.853 0.707 0.562
Th1 Th 0.781 0.562 0.122
Th2 Th 0.781 0.562 0.378
Th3 Th 0.219 0.438 0.878
Th4 Th 0.219 0.438 0.622
Th5 Th 0.946 0.893 0.750
Th6 Th 0.054 0.107 0.250
Th7 Th 0.500 0.000 0.000
Th8 Th 0.500 0.000 0.500
N1 N 0.578 0.156 0.750
N2 N 0.422 0.844 0.250
```

Values from the calculation:
space group	No. 63
Fermi-level density of states	9.38	states/eV/cell
total moment	0.00	Bohr magnetons per cell



B:
The following is a DFT calculation (PBE) of crystalline Th4C2N at its relaxed geometry.

The structure in CIF format:
```
data_Th4C2N
_space_group_name_H-M_alt 'P 1'
_space_group_IT_number 1
_cell_length_a 3.694
_cell_length_b 3.694
_cell_length_c 12.290
_cell_angle_alpha 81.36
_cell_angle_beta 81.36
_cell_angle_gamma 60.00
loop_
_space_group_symop_operation_xyz
'x,y,z'
loop_
_atom_site_label
_atom_site_type_symbol
_atom_site_fract_x
_atom_site_fract_y
_atom_site_fract_z
Th1 Th 0.124 0.124 0.629
Th2 Th 0.292 0.292 0.124
Th3 Th 0.708 0.708 0.876
Th4 Th 0.876 0.876 0.371
C1 C 0.419 0.419 0.744
C2 C 0.581 0.581 0.256
N1 N 0.000 0.000 0.000
```

Values from the calculation:
space group	No. 166
Fermi-level density of states	4.44	states/eV/cell
total moment	0.00	Bohr magnetons per cell



Most stable structure, least stable structure: B, A.